(1)
BeCrTe2 PBE optimized geometry; DFT total energy = -18.0 eV per cell; D(E_F) = 2.37 states/eV per cell
1.0
3.705 0.000 0.000
0.000 3.765 0.000
0.000 0.000 8.000
Be Cr Te
1 1 2
Direct
0.000 0.000 0.000 Be
0.000 0.500 0.500 Cr
0.500 0.000 0.500 Te
0.500 0.500 0.000 Te

=====

(2)
Ba2TeOs PBE optimized geometry; DFT total energy = -17.3 eV per cell; D(E_F) = 4.66 states/eV per cell
1.0
-2.402 2.402 5.812
2.402 -2.402 5.812
2.402 2.402 -5.812
Ba Te Os
2 1 1
Direct
0.000 0.000 0.000 Ba
0.750 0.250 0.500 Ba
0.500 0.500 0.000 Te
0.250 0.750 0.500 Os

=====

(3)
Ba3Li2HfO6 PBE optimized geometry; DFT total energy = -80.4 eV per cell; D(E_F) = 0.00 states/eV per cell
1.0
6.008 0.000 0.000
-3.004 5.203 0.000
0.000 0.000 6.788
Ba Li Hf O
3 2 1 6
Direct
0.000 0.000 0.000 Ba
0.333 0.667 0.639 Ba
0.667 0.333 0.361 Ba
0.333 0.667 0.232 Li
0.667 0.333 0.768 Li
0.000 0.000 0.500 Hf
0.163 0.326 0.314 O
0.163 0.837 0.314 O
0.326 0.163 0.686 O
0.674 0.837 0.314 O
0.837 0.163 0.686 O
0.837 0.674 0.686 O

=====

(4)
La6Pt2Se3S PBE optimized geometry; DFT total energy = -76.8 eV per cell; D(E_F) = 9.61 states/eV per cell
1.0
9.530 -2.103 0.000
9.530 2.103 0.000
-2.255 0.000 8.425
La Pt Se S
6 2 3 1
Direct
0.001 0.001 0.243 La
0.331 0.331 0.427 La
0.335 0.335 0.903 La
0.665 0.665 0.097 La
0.669 0.669 0.573 La
0.999 0.999 0.757 La
0.166 0.166 0.333 Pt
0.834 0.834 0.667 Pt
0.164 0.164 0.837 Se
0.500 0.500 0.500 Se
0.836 0.836 0.163 Se
0.500 0.500 0.000 S